[1]
CaNdEu (PBE-GGA, optimized geometry); space-group type = P3m1, No. 156; DFT total energy = -16.878 eV for the cell shown; polymorph energy (0 for the lowest one) = 0 meV per atom; DOS(E_F) = 1.36 states/eV per atom; density = 4.78 g/cm3; calculated formation energy = 0.0552 eV/atom
1.0
-1.496 -1.917 -2.905
-0.176 -1.429 3.504
-8.228 4.357 1.364
Eu Ca Nd
1 1 1
Direct
0.667 0.333 0.326
0.333 0.667 0.673
0.000 0.000 0.001

***

[2]
CaNdEu2 (PBE-GGA, optimized geometry); space-group type = P4/mmm, No. 123; DFT total energy = -26.960 eV for the cell shown; polymorph energy (0 for the lowest one) = 45 meV per atom; DOS(E_F) = 0.93 states/eV per atom; density = 5.13 g/cm3; calculated formation energy = 0.0896 eV/atom
1.0
4.215 0.000 0.000
0.000 6.123 0.000
0.000 0.000 6.123
Eu Ca Nd
2 1 1
Direct
0.000 0.000 0.500
0.000 0.500 0.000
0.500 0.000 0.000
0.500 0.500 0.500

***

[3]
CaNdEu2 (PBE-GGA, optimized geometry); space-group type = Fm-3m, No. 225; DFT total energy = -26.968 eV for the cell shown; polymorph energy (0 for the lowest one) = 43 meV per atom; DOS(E_F) = 3.76 states/eV per atom; density = 5.13 g/cm3; calculated formation energy = 0.0876 eV/atom
1.0
6.071 0.000 0.000
3.035 5.257 0.000
3.035 1.752 4.957
Eu Ca Nd
2 1 1
Direct
0.250 0.250 0.250
0.750 0.750 0.750
0.000 0.000 0.000
0.500 0.500 0.500

***

[4]
CaNdEu4 (PBE-GGA, optimized geometry); space-group type = F-43m, No. 216; DFT total energy = -46.765 eV for the cell shown; DOS(E_F) = 1.49 states/eV per atom; density = 5.26 g/cm3; calculated formation energy = 0.1838 eV/atom
1.0
7.073 0.000 0.000
3.537 6.126 0.000
3.537 2.042 5.775
Eu Ca Nd
4 1 1
Direct
0.626 0.626 0.123
0.626 0.123 0.626
0.626 0.626 0.626
0.123 0.626 0.626
0.250 0.250 0.250
0.000 0.000 0.000

***

[5]
CaNdEu2 (PBE-GGA, optimized geometry); space-group type = R-3m, No. 166; DFT total energy = -27.140 eV for the cell shown; polymorph energy (0 for the lowest one) = 0 meV per atom; DOS(E_F) = 1.24 states/eV per atom; density = 5.08 g/cm3; calculated formation energy = 0.0446 eV/atom
1.0
-1.368 -1.789 3.085
-1.010 -3.677 -0.216
10.936 -5.234 4.178
Eu Ca Nd
2 1 1
Direct
0.748 0.748 0.756
0.252 0.252 0.244
0.500 0.500 0.500
0.000 0.000 0.000

***

[6]
CaNdEuSbO6 (PBE-GGA, optimized geometry); space-group type = P-4n2, No. 118; E_form (uncorrected) = -2516 meV/atom; DFT total energy = -152.151 eV for the cell shown; polymorph energy (0 for the lowest one) = 0 meV per atom; DOS(E_F) = 1.61 states/eV per atom; density = 6.19 g/cm3
1.0
-3.288 -4.184 2.530
4.718 -3.514 0.322
1.860 3.205 7.717
Ca Nd Eu Sb O
2 2 2 2 12
Direct
0.000 0.500 0.250
0.500 0.000 0.750
0.000 0.000 0.000
0.500 0.500 0.500
0.500 0.000 0.250
0.000 0.500 0.750
0.000 0.000 0.500
0.500 0.500 0.000
0.000 0.000 0.266
0.500 0.500 0.234
0.000 0.000 0.734
0.500 0.500 0.766
0.347 0.194 0.991
0.653 0.806 0.991
0.806 0.347 0.009
0.194 0.653 0.009
0.847 0.306 0.491
0.153 0.694 0.491
0.306 0.153 0.509
0.694 0.847 0.509